## Li2ScPd2 (GGA-PBE)

Data for crystalline Li2ScPd2 at its relaxed geometry.

## Properties
Calculated formation energy   -267 kJ/mol of formula units
Polymorph energy (0 for the lowest one)   0 meV per atom
Total moment   0.000 μB/atom

abc: 8.3340 8.3340 3.0332
angles: 90.00 90.00 156.39
Last column: nearest neighbours and their distance in Å.
Fractional coordinates of all 5 atoms:
Li: 0.1872 0.8128 0.0000  2 Li 2.67, 4 Pd 2.70
Li: 0.8128 0.1872 0.0000  2 Li 2.67, 4 Pd 2.70
Sc: 0.0000 0.0000 0.0000  8 Pd 2.80, 2 Sc 3.03, 2 Li 3.05
Pd: 0.4009 0.5991 0.5000  4 Li 2.70, 4 Sc 2.80
Pd: 0.5991 0.4009 0.5000  4 Li 2.70, 4 Sc 2.80